[1]
BePd PBE relaxed; symmetry = Fm-3m
1.0
0.000 2.303 2.303
2.303 0.000 2.303
2.303 2.303 0.000
Be Pd
1 1
Direct
0.000 0.000 0.000
0.500 0.500 0.500


[2]
AcHgNO PBE relaxed; symmetry = Pca2_1; energy relative to the lowest polymorph listed for this composition = 0.0 meV/atom; size of the total moment = 0.01 μB/cell
1.0
5.983 0.000 0.000
0.000 8.752 0.000
0.000 0.000 6.066
Ac Hg N O
4 4 4 4
Direct
0.018 0.144 0.000
0.482 0.144 0.500
0.518 0.856 0.000
0.982 0.856 0.500
0.001 0.471 0.399
0.499 0.471 0.899
0.501 0.529 0.399
0.999 0.529 0.899
0.066 0.339 0.678
0.434 0.339 0.178
0.566 0.661 0.678
0.934 0.661 0.178
0.249 0.990 0.764
0.251 0.990 0.264
0.749 0.010 0.764
0.751 0.010 0.264


Calculated total energy values, unit eV/atom, following the record order: -4.695 -5.603.